No. 1
VASP calculation (meta-GGA SCAN) on a PBEsol-optimized structure of SrSiF2.

POSCAR file:
```
SrSiF2
1.0
4.056 0.000 0.000
2.028 3.513 0.000
2.028 1.171 5.586
F Si Sr
2 1 1
direct
0.126 0.126 0.623 F
0.874 0.874 0.377 F
0.000 0.000 0.000 Si
0.500 0.500 0.500 Sr
```

Properties
Formation energy from raw total energies   -8.8 eV per formula unit
E_tot   -12.053 eV per atom
Total magnetization   0.0 μB per cell

=====

No. 2
VASP calculation (meta-GGA SCAN) on a PBEsol-optimized structure of SrSi3F.

POSCAR file:
```
SrSi3F
1.0
4.543 0.000 0.000
0.000 4.543 0.000
0.000 0.000 4.543
Sr Si F
1 3 1
direct
0.500 0.500 0.500 Sr
0.500 0.000 0.000 Si
0.000 0.500 0.000 Si
0.000 0.000 0.500 Si
0.000 0.000 0.000 F
```

Properties
Formation energy from raw total energies   0.3 eV per formula unit
E_tot   -11.108 eV per atom
Total magnetization   0.0 μB per cell

=====

No. 3
VASP calculation (meta-GGA SCAN) on a PBEsol-optimized structure of Zn2SiTcF.

POSCAR file:
```
Zn2SiTcF
1.0
-1.924 -0.424 3.242
-2.859 -3.274 -2.125
3.035 -3.521 1.342
Si F Zn Tc
1 1 2 1
direct
0.500 0.500 0.500 Si
0.500 0.000 0.000 F
0.000 0.000 0.500 Zn
0.000 0.500 0.000 Zn
0.000 0.000 0.000 Tc
```

Properties
Formation energy from raw total energies   2.2 eV per formula unit
E_tot   -14.687 eV per atom
Total magnetization   0.0 μB per cell

=====

No. 4
VASP calculation (meta-GGA SCAN) on a PBEsol-optimized structure of TlSiF2.

POSCAR file:
```
TlSiF2
1.0
-1.229 -1.985 1.909
0.772 -2.912 -0.148
5.838 -0.311 5.818
F Si Tl
2 1 1
direct
0.928 0.928 0.216 F
0.072 0.072 0.784 F
0.000 0.000 0.000 Si
0.500 0.500 0.500 Tl
```

Properties
Formation energy from raw total energies   -5.9 eV per formula unit
E_tot   -23.836 eV per atom
Total magnetization   0.0 μB per cell

=====

No. 5
VASP calculation (meta-GGA SCAN) on a PBEsol-optimized structure of SmSnF7.

POSCAR file:
```
SmSnF7
1.0
5.641 0.000 0.000
0.000 9.028 0.012
0.000 -3.361 10.721
Sm F Sn
4 28 4
direct
0.258 0.578 0.765 Sm
0.758 0.922 0.735 Sm
0.742 0.422 0.235 Sm
0.242 0.078 0.265 Sm
0.269 0.379 0.860 F
0.088 0.801 0.768 F
0.953 0.416 0.672 F
0.047 0.584 0.328 F
0.548 0.127 0.418 F
0.912 0.199 0.232 F
0.974 0.131 0.860 F
0.526 0.631 0.360 F
0.588 0.699 0.732 F
0.951 0.827 0.544 F
0.049 0.173 0.456 F
0.453 0.084 0.828 F
0.240 0.579 0.554 F
0.452 0.873 0.582 F
0.048 0.373 0.082 F
0.740 0.921 0.946 F
0.549 0.327 0.044 F
0.451 0.673 0.956 F
0.474 0.369 0.640 F
0.760 0.421 0.446 F
0.412 0.301 0.268 F
0.260 0.079 0.054 F
0.547 0.916 0.172 F
0.769 0.121 0.640 F
0.026 0.869 0.140 F
0.231 0.879 0.360 F
0.952 0.627 0.918 F
0.731 0.621 0.140 F
0.745 0.770 0.043 Sn
0.755 0.270 0.543 Sn
0.255 0.230 0.957 Sn
0.245 0.730 0.457 Sn
```

Properties
Formation energy from raw total energies   -30.8 eV per formula unit
E_tot   -15.101 eV per atom
Total magnetization   0.2 μB per cell

=====

No. 6
VASP calculation (meta-GGA SCAN) on a PBEsol-optimized structure of SmZrF7.

POSCAR file:
```
SmZrF7
1.0
5.825 0.000 0.000
0.000 6.122 0.010
0.000 -1.841 8.097
F Sm Zr
14 2 2
direct
0.992 0.560 0.745 F
0.492 0.440 0.255 F
0.761 0.268 0.479 F
0.994 0.071 0.708 F
0.991 0.903 0.293 F
0.494 0.929 0.292 F
0.261 0.732 0.521 F
0.057 0.041 0.018 F
0.252 0.642 0.028 F
0.752 0.358 0.972 F
0.557 0.959 0.982 F
0.491 0.097 0.707 F
0.019 0.445 0.265 F
0.519 0.555 0.735 F
0.263 0.845 0.811 Sm
0.763 0.155 0.189 Sm
0.256 0.686 0.274 Zr
0.756 0.314 0.726 Zr
```

Properties
Formation energy from raw total energies   -37.5 eV per formula unit
Energy above the most stable polymorph in this dataset   0.005 eV per atom
E_tot   -15.267 eV per atom
Total magnetization   0.1 μB per cell

=====

No. 7
VASP calculation (meta-GGA SCAN) on a PBEsol-optimized structure of SmZrF7.

POSCAR file:
```
SmZrF7
1.0
5.727 0.000 0.000
0.000 9.117 0.010
0.000 -3.385 10.814
F Zr Sm
28 4 4
direct
0.040 0.084 0.829 F
0.266 0.882 0.360 F
0.419 0.798 0.767 F
0.962 0.134 0.420 F
0.538 0.634 0.920 F
0.239 0.083 0.058 F
0.739 0.417 0.442 F
0.919 0.702 0.733 F
0.482 0.878 0.146 F
0.038 0.866 0.580 F
0.960 0.916 0.171 F
0.581 0.202 0.233 F
0.261 0.583 0.558 F
0.456 0.170 0.453 F
0.518 0.122 0.854 F
0.734 0.118 0.640 F
0.540 0.416 0.671 F
0.982 0.622 0.354 F
0.761 0.917 0.942 F
0.044 0.670 0.953 F
0.018 0.378 0.646 F
0.234 0.382 0.860 F
0.766 0.618 0.140 F
0.462 0.366 0.080 F
0.956 0.330 0.047 F
0.081 0.298 0.267 F
0.460 0.584 0.329 F
0.544 0.830 0.547 F
0.745 0.271 0.544 Zr
0.255 0.729 0.456 Zr
0.245 0.229 0.956 Zr
0.755 0.771 0.044 Zr
0.243 0.580 0.766 Sm
0.257 0.080 0.266 Sm
0.757 0.420 0.234 Sm
0.743 0.920 0.734 Sm
```

Properties
Formation energy from raw total energies   -37.5 eV per formula unit
Energy above the most stable polymorph in this dataset   0.000 eV per atom
E_tot   -15.272 eV per atom
Total magnetization   0.2 μB per cell

=====

No. 8
VASP calculation (meta-GGA SCAN) on a PBEsol-optimized structure of SnF4.

POSCAR file:
```
SnF4
1.0
4.101 0.000 0.000
0.000 4.101 0.000
-2.051 -2.051 3.996
F Sn
4 1
direct
0.763 0.763 0.525 F
0.237 0.237 0.475 F
0.500 0.000 0.000 F
0.000 0.500 0.000 F
0.000 0.000 0.000 Sn
```

Properties
Formation energy from raw total energies   -12.4 eV per formula unit
E_tot   -12.506 eV per atom
Total magnetization   0.0 μB per cell

=====

No. 9
VASP calculation (meta-GGA SCAN) on a PBEsol-optimized structure of SnF3.

POSCAR file:
```
SnF3
1.0
6.137 0.000 0.000
3.068 5.314 0.000
3.068 1.771 5.010
F Sn
6 2
direct
0.270 0.730 0.270 F
0.730 0.270 0.270 F
0.270 0.730 0.730 F
0.270 0.270 0.730 F
0.730 0.730 0.270 F
0.730 0.270 0.730 F
0.000 0.000 0.000 Sn
0.500 0.500 0.500 Sn
```

Properties
Formation energy from raw total energies   -9.8 eV per formula unit
E_tot   -14.087 eV per atom
Total magnetization   0.0 μB per cell

=====

No. 10
VASP calculation (meta-GGA SCAN) on a PBEsol-optimized structure of Sr2SnF.

POSCAR file:
```
Sr2SnF
1.0
-4.666 -2.775 0.486
-1.700 -3.207 -4.066
0.100 -5.418 0.579
Sr F Sn
2 1 1
direct
0.250 0.250 0.250 Sr
0.750 0.750 0.750 Sr
0.000 0.000 0.000 F
0.500 0.500 0.500 Sn
```

Properties
Formation energy from raw total energies   -5.5 eV per formula unit
E_tot   -22.374 eV per atom
Total magnetization   1.0 μB per cell

=====

No. 11
VASP calculation (meta-GGA SCAN) on a PBEsol-optimized structure of TiSn6F16.

POSCAR file:
```
TiSn6F16
1.0
-0.129 -7.419 -0.939
-0.034 2.591 9.318
-11.010 0.215 -0.185
F Sn Ti
32 12 2
direct
0.884 0.480 0.907 F
0.123 0.257 0.513 F
0.771 0.861 0.704 F
0.817 0.328 0.455 F
0.866 0.743 0.987 F
0.697 0.077 0.591 F
0.404 0.520 0.593 F
0.596 0.480 0.407 F
0.511 0.328 0.955 F
0.000 0.296 0.246 F
0.229 0.139 0.296 F
0.000 0.704 0.754 F
0.303 0.923 0.409 F
0.721 0.444 0.663 F
0.620 0.923 0.909 F
0.703 0.704 0.254 F
0.380 0.077 0.091 F
0.911 0.139 0.796 F
0.089 0.861 0.204 F
0.877 0.743 0.487 F
0.444 0.861 0.208 F
0.297 0.296 0.746 F
0.116 0.520 0.093 F
0.277 0.556 0.837 F
0.556 0.139 0.792 F
0.417 0.861 0.708 F
0.583 0.139 0.292 F
0.723 0.444 0.163 F
0.279 0.556 0.337 F
0.489 0.672 0.045 F
0.134 0.257 0.013 F
0.183 0.672 0.545 F
0.526 0.298 0.539 Sn
0.228 0.702 0.961 Sn
0.299 0.411 0.176 Sn
0.746 0.859 0.106 Sn
0.113 0.859 0.606 Sn
0.772 0.298 0.039 Sn
0.888 0.589 0.324 Sn
0.887 0.141 0.394 Sn
0.474 0.702 0.461 Sn
0.254 0.141 0.894 Sn
0.701 0.589 0.824 Sn
0.112 0.411 0.676 Sn
0.334 0.000 0.250 Ti
0.666 0.000 0.750 Ti
```

Properties
Formation energy from raw total energies   -59.9 eV per formula unit
E_tot   -15.134 eV per atom
Total magnetization   0.0 μB per cell

=====

No. 12
VASP calculation (meta-GGA SCAN) on a PBEsol-optimized structure of Tl2SnF6.

POSCAR file:
```
Tl2SnF6
1.0
4.786 0.000 0.000
0.000 6.000 0.000
0.000 -3.000 5.196
Sn F Tl
1 6 2
direct
0.000 0.000 0.000 Sn
0.230 0.160 0.840 F
0.770 0.320 0.160 F
0.770 0.840 0.160 F
0.230 0.160 0.320 F
0.230 0.680 0.840 F
0.770 0.840 0.680 F
0.692 0.333 0.667 Tl
0.308 0.667 0.333 Tl
```

Properties
Formation energy from raw total energies   -21.2 eV per formula unit
E_tot   -24.787 eV per atom
Total magnetization   0.0 μB per cell

=====

No. 13
VASP calculation (meta-GGA SCAN) on a PBEsol-optimized structure of YSnF7.

POSCAR file:
```
YSnF7
1.0
5.712 0.000 0.000
0.000 5.946 0.007
0.000 -1.847 7.913
F Sn Y
14 2 2
direct
0.024 0.024 0.011 F
0.973 0.906 0.297 F
0.979 0.066 0.702 F
0.524 0.976 0.989 F
0.508 0.564 0.737 F
0.008 0.436 0.263 F
0.479 0.934 0.298 F
0.484 0.443 0.257 F
0.245 0.726 0.521 F
0.745 0.274 0.479 F
0.739 0.370 0.975 F
0.984 0.557 0.743 F
0.239 0.630 0.025 F
0.473 0.094 0.703 F
0.240 0.686 0.273 Sn
0.740 0.314 0.727 Sn
0.746 0.155 0.189 Y
0.246 0.845 0.811 Y
```

Properties
Formation energy from raw total energies   -30.8 eV per formula unit
Energy above the most stable polymorph in this dataset   0.008 eV per atom
E_tot   -13.265 eV per atom
Total magnetization   0.1 μB per cell

=====

No. 14
VASP calculation (meta-GGA SCAN) on a PBEsol-optimized structure of YSnF7.

POSCAR file:
```
YSnF7
1.0
-1.232 -5.089 1.896
2.465 -3.488 -7.760
8.963 0.261 6.526
F Sn Y
28 4 4
direct
0.526 0.128 0.856 F
0.956 0.920 0.175 F
0.420 0.796 0.766 F
0.580 0.204 0.234 F
0.759 0.925 0.945 F
0.556 0.825 0.545 F
0.444 0.175 0.455 F
0.259 0.575 0.555 F
0.026 0.372 0.644 F
0.920 0.704 0.734 F
0.954 0.125 0.417 F
0.241 0.075 0.055 F
0.044 0.080 0.825 F
0.474 0.872 0.144 F
0.974 0.628 0.356 F
0.046 0.875 0.583 F
0.456 0.580 0.325 F
0.546 0.625 0.917 F
0.227 0.381 0.859 F
0.773 0.619 0.141 F
0.080 0.296 0.266 F
0.544 0.420 0.675 F
0.056 0.675 0.955 F
0.727 0.119 0.641 F
0.454 0.375 0.083 F
0.944 0.325 0.045 F
0.273 0.881 0.359 F
0.741 0.425 0.445 F
0.757 0.771 0.043 Sn
0.743 0.271 0.543 Sn
0.257 0.729 0.457 Sn
0.243 0.229 0.957 Sn
0.742 0.921 0.734 Y
0.242 0.579 0.766 Y
0.258 0.079 0.266 Y
0.758 0.421 0.234 Y
```

Properties
Formation energy from raw total energies   -30.9 eV per formula unit
Energy above the most stable polymorph in this dataset   0.000 eV per atom
E_tot   -13.272 eV per atom
Total magnetization   0.3 μB per cell

=====

No. 15
VASP calculation (meta-GGA SCAN) on a PBEsol-optimized structure of ZnSnF4.

POSCAR file:
```
ZnSnF4
1.0
4.946 0.000 -0.012
-0.073 5.522 -0.004
-2.083 -2.219 6.184
F Zn Sn
8 2 2
direct
0.025 0.615 0.645 F
0.566 0.499 0.792 F
0.896 0.263 0.217 F
0.481 0.066 0.391 F
0.810 0.768 0.204 F
0.735 0.025 0.809 F
0.425 0.551 0.366 F
0.070 0.129 0.622 F
0.755 0.818 0.503 Zn
0.247 0.350 0.495 Zn
0.989 0.415 0.921 Sn
0.520 0.988 0.058 Sn
```

Properties
Formation energy from raw total energies   -14.2 eV per formula unit
E_tot   -12.971 eV per atom
Total magnetization   0.0 μB per cell

=====

No. 16
VASP calculation (meta-GGA SCAN) on a PBEsol-optimized structure of SrF2.

POSCAR file:
```
SrF2
1.0
3.767 0.000 0.000
0.000 6.251 0.000
0.000 0.000 7.379
F Sr
8 4
direct
0.250 0.643 0.572 F
0.250 0.025 0.333 F
0.750 0.857 0.072 F
0.750 0.357 0.428 F
0.750 0.975 0.667 F
0.250 0.525 0.167 F
0.250 0.143 0.928 F
0.750 0.475 0.833 F
0.750 0.749 0.387 Sr
0.250 0.751 0.887 Sr
0.250 0.251 0.613 Sr
0.750 0.249 0.113 Sr
```

Properties
Formation energy from raw total energies   -12.5 eV per formula unit
E_tot   -13.959 eV per atom
Total magnetization   0.0 μB per cell

=====

No. 17
VASP calculation (meta-GGA SCAN) on a PBEsol-optimized structure of SrF.

POSCAR file:
```
SrF
1.0
-0.489 2.805 -3.059
-3.106 -2.636 0.934
-2.380 4.355 4.374
Sr F
2 2
direct
0.333 0.667 0.105 Sr
0.667 0.333 0.605 Sr
0.333 0.667 0.520 F
0.667 0.333 0.020 F
```

Properties
Formation energy from raw total energies   -5.6 eV per formula unit
E_tot   -15.722 eV per atom
Total magnetization   1.4 μB per cell

=====

No. 18
VASP calculation (meta-GGA SCAN) on a PBEsol-optimized structure of SrF2.

POSCAR file:
```
SrF2
1.0
-1.328 -3.665 -1.185
1.238 -1.564 -3.552
2.554 -3.174 -0.049
Sr F
1 2
direct
0.000 0.000 0.000 Sr
0.250 0.250 0.250 F
0.750 0.750 0.750 F
```

Properties
Formation energy from raw total energies   -12.6 eV per formula unit
E_tot   -13.984 eV per atom
Total magnetization   0.1 μB per cell

=====

No. 19
VASP calculation (meta-GGA SCAN) on a PBEsol-optimized structure of Sr3TeF.

POSCAR file:
```
Sr3TeF
1.0
-1.661 -4.022 -2.976
-0.450 -3.003 4.309
-4.983 1.612 0.602
F Sr Te
1 3 1
direct
0.000 0.000 0.000 F
0.000 0.000 0.500 Sr
0.000 0.500 0.000 Sr
0.500 0.000 0.000 Sr
0.500 0.500 0.500 Te
```

Properties
Formation energy from raw total energies   -7.0 eV per formula unit
E_tot   -22.928 eV per atom
Total magnetization   2.8 μB per cell